{
  "formula": "AcPaCo2O8",
  "functional": "PBE with a Hubbard U",
  "state": "relaxed",
  "e_tot_ev_per_atom": -7.36,
  "n_ef_per_ev_cell": 0.260,
  "crystal_system": "tetragonal",
  "cell": [[-2.851, 1.430, 5.279], [4.411, -4.296, 0.362], [2.780, 5.164, -1.909]],
  "species": ["Ac", "Pa", "Co", "Co", "O", "O", "O", "O", "O", "O", "O", "O"],
  "frac_coords": [[0.250, 0.750, 0.500], [0.000, 0.000, 0.000], [0.750, 0.250, 0.500], [0.500, 0.500, 0.000], [0.388, 0.084, 0.304], [0.303, 0.472, 0.169], [0.303, 0.133, 0.831], [0.780, 0.084, 0.696], [0.867, 0.697, 0.169], [0.916, 0.220, 0.304], [0.916, 0.612, 0.696], [0.528, 0.697, 0.831]]
}